No. 1
DFT (GGA-PBE) results for a relaxed La12CeZn6 crystal.

a b c (Å): 8.224 8.224 8.224
angles (deg): 87.93 87.93 87.93
Each line ends with the local moment (μB).
Element x y z (fractional)
La  0.550  0.430  0.813  -0.01
Zn  0.260  0.109  0.743  0.00
La  0.977  0.841  0.613  0.01
Zn  0.740  0.891  0.257  0.00
La  0.570  0.187  0.450  -0.01
La  0.813  0.550  0.430  -0.01
Zn  0.257  0.740  0.891  0.00
La  0.450  0.570  0.187  -0.01
La  0.613  0.977  0.841  0.01
La  0.159  0.387  0.023  0.01
La  0.187  0.450  0.570  -0.01
La  0.430  0.813  0.550  -0.01
La  0.387  0.023  0.159  0.01
La  0.023  0.159  0.387  0.01
Zn  0.109  0.743  0.260  0.00
Zn  0.891  0.257  0.740  0.00
Zn  0.743  0.260  0.109  0.00
La  0.841  0.613  0.977  0.01
Ce  0.000  0.000  0.000  0.59

DOS at the Fermi energy (states/eV per atom): 1.30
Symmetry: R-3, No. 148
Total magnetic moment (μB/cell): 0.66
E_tot (eV for the cell shown): -74.266
Energy relative to the elements (kJ per mole of atoms): -7.9

=====

No. 2
DFT (GGA-PBE) results for a relaxed HoSb3S6 crystal.

a b c (Å): 3.844 11.864 11.466
angles (deg): 101.97 90.00 90.00
Element x y z (fractional)
Sb  0.750  0.156  0.092
Ho  0.750  0.028  0.685
Sb  0.250  0.286  0.527
Sb  0.750  0.416  0.836
Ho  0.250  0.972  0.315
S  0.750  0.436  0.619
S  0.750  0.439  0.119
S  0.250  0.209  0.713
S  0.250  0.198  0.242
S  0.750  0.791  0.287
S  0.250  0.897  0.538
S  0.250  0.045  0.876
Sb  0.750  0.714  0.473
S  0.250  0.561  0.881
Sb  0.250  0.584  0.164
S  0.750  0.955  0.124
S  0.250  0.564  0.381
S  0.750  0.103  0.462
S  0.750  0.802  0.758
Sb  0.250  0.844  0.908

ΔE_f (raw) (eV per atom): -0.706
Symmetry: P2_1/m, No. 11
Total magnetic moment (μB/cell): 0.00
E_tot (eV for the cell shown): -97.536
Polymorph energy (0 for the lowest one) (meV per atom): 0

=====

Number 1 is which compound?
La12CeZn6